Material: TbZrPa
Method: DFT, PBE
State: relaxed

## Properties
- final energy (eV for the cell shown) = -77.0
- calculated formation energy (kJ/mol of formula units) = 330
- mass density (g/cm3) = 8.67
- size of the total moment (μB per atom) = 0.547

The structure in CIF format:
```
data_TbZrPa
_chemical_formula_sum 'Tb4 Zr4 Pa4'
_cell_length_a 7.172
_cell_length_b 7.172
_cell_length_c 7.172
_cell_angle_alpha 90.00
_cell_angle_beta 90.00
_cell_angle_gamma 90.00
_space_group_name_H-M_alt 'F -4 3 m'
_space_group_IT_number 216
_space_group_name_Hall 'F -4 2 3'
loop_
_atom_site_label
_atom_site_type_symbol
_atom_site_fract_x
_atom_site_fract_y
_atom_site_fract_z
_atom_site_occupancy
Tb1 Tb 0.000 0.000 0.000 1
Zr1 Zr 0.000 0.000 0.500 1
Pa1 Pa 0.250 0.250 0.250 1
```

---

Material: DyNbSb
Method: DFT, PBE
State: relaxed

## Properties
- final energy (eV for the cell shown) = -75.4
- mass density (g/cm3) = 7.97
- size of the total moment (μB per atom) = 0.033

The structure in CIF format:
```
data_DyNbSb
_chemical_formula_sum 'Dy4 Nb4 Sb4'
_cell_length_a 6.798
_cell_length_b 6.798
_cell_length_c 6.798
_cell_angle_alpha 90.00
_cell_angle_beta 90.00
_cell_angle_gamma 90.00
_space_group_name_H-M_alt 'F -4 3 m'
_space_group_IT_number 216
_space_group_name_Hall 'F -4 2 3'
loop_
_atom_site_label
_atom_site_type_symbol
_atom_site_fract_x
_atom_site_fract_y
_atom_site_fract_z
_atom_site_occupancy
Dy1 Dy 0.000 0.000 0.000 1
Nb1 Nb 0.000 0.000 0.500 1
Sb1 Sb 0.250 0.250 0.250 1
```

---

Material: YIr2Pt
Method: DFT, PBE
State: relaxed

## Properties
- final energy (eV for the cell shown) = -123.3
- calculated formation energy (kJ/mol of formula units) = -58
- mass density (g/cm3) = 15.75
- size of the total moment (μB per atom) = 0.231

The structure in CIF format:
```
data_YIr2Pt
_chemical_formula_sum 'Y4 Ir8 Pt4'
_cell_length_a 6.557
_cell_length_b 6.557
_cell_length_c 6.557
_cell_angle_alpha 90.00
_cell_angle_beta 90.00
_cell_angle_gamma 90.00
_space_group_name_H-M_alt 'F -4 3 m'
_space_group_IT_number 216
_space_group_name_Hall 'F -4 2 3'
loop_
_atom_site_label
_atom_site_type_symbol
_atom_site_fract_x
_atom_site_fract_y
_atom_site_fract_z
_atom_site_occupancy
Y1 Y 0.000 0.000 0.000 1
Ir1 Ir 0.000 0.000 0.500 1
Ir2 Ir 0.250 0.250 0.250 1
Pt1 Pt 0.250 0.250 0.750 1
```

---

Material: GdMgZn
Method: DFT, PBE
State: relaxed

## Properties
- final energy (eV for the cell shown) = -23.7
- mass density (g/cm3) = 5.92
- size of the total moment (μB per atom) = 0.001

The structure in CIF format:
```
data_GdMgZn
_chemical_formula_sum 'Gd3 Mg3 Zn3'
_cell_length_a 4.8869
_cell_length_b 4.8869
_cell_length_c 10.0523
_cell_angle_alpha 90.00
_cell_angle_beta 90.00
_cell_angle_gamma 120.00
_space_group_name_H-M_alt 'P 3 m 1'
_space_group_IT_number 156
_space_group_name_Hall 'P 3 -2"'
loop_
_atom_site_label
_atom_site_type_symbol
_atom_site_fract_x
_atom_site_fract_y
_atom_site_fract_z
_atom_site_occupancy
Gd1 Gd 0.0000 0.0000 0.0000 1
Gd2 Gd 0.0000 0.0000 0.3670 1
Gd3 Gd 0.3333 0.6667 0.5916 1
Mg1 Mg 0.0000 0.0000 0.7003 1
Mg2 Mg 0.3333 0.6667 0.1918 1
Mg3 Mg 0.6667 0.3333 0.1774 1
Zn1 Zn 0.3333 0.6667 0.8879 1
Zn2 Zn 0.6667 0.3333 0.5096 1
Zn3 Zn 0.6667 0.3333 0.8205 1
```

---

Material: NdCuSnTe3
Method: DFT, PBE
State: relaxed

## Properties
- final energy (eV for the cell shown) = -103.7
- energy above the lowest structure with this stoichiometry (meV per atom) = 0.0
- mass density (g/cm3) = 6.55
- size of the total moment (μB per atom) = 0.000

The structure in CIF format:
```
data_NdCuSnTe3
_chemical_formula_sum 'Nd4 Cu4 Sn4 Te12'
_cell_length_a 4.294
_cell_length_b 14.583
_cell_length_c 11.480
_cell_angle_alpha 90.00
_cell_angle_beta 90.00
_cell_angle_gamma 90.00
_space_group_name_H-M_alt 'C m c m'
_space_group_IT_number 63
_space_group_name_Hall '-C 2c 2'
loop_
_atom_site_label
_atom_site_type_symbol
_atom_site_fract_x
_atom_site_fract_y
_atom_site_fract_z
_atom_site_occupancy
Nd1 Nd 0.000 0.000 0.000 1
Cu1 Cu 0.000 0.471 0.250 1
Sn1 Sn 0.000 0.236 0.750 1
Te1 Te 0.000 0.086 0.250 1
Te2 Te 0.000 0.352 0.073 1
```

---

Material: DyRe4SiSn
Method: DFT, PBE
State: relaxed

## Properties
- final energy (eV for the cell shown) = -130.8
- mass density (g/cm3) = 13.58
- size of the total moment (μB per atom) = 0.001

The structure in CIF format:
```
data_DyRe4SiSn
_chemical_formula_sum 'Dy2 Re8 Si2 Sn2'
_cell_length_a 4.148
_cell_length_b 4.179
_cell_length_c 14.871
_cell_angle_alpha 90.00
_cell_angle_beta 90.00
_cell_angle_gamma 90.00
_space_group_name_H-M_alt 'A m m 2'
_space_group_IT_number 38
_space_group_name_Hall 'A 2 -2'
loop_
_atom_site_label
_atom_site_type_symbol
_atom_site_fract_x
_atom_site_fract_y
_atom_site_fract_z
_atom_site_occupancy
Dy1 Dy 0.000 0.000 0.000 1
Re1 Re 0.000 0.000 0.325 1
Re2 Re 0.000 0.000 0.726 1
Re3 Re 0.500 0.000 0.222 1
Re4 Re 0.500 0.000 0.829 1
Si1 Si 0.500 0.000 0.424 1
Sn1 Sn 0.500 0.000 0.599 1
```

---

Material: KNi2Te3
Method: DFT, PBE
State: relaxed

## Properties
- final energy (eV for the cell shown) = -94.1
- mass density (g/cm3) = 5.71
- size of the total moment (μB per atom) = 0.001

The structure in CIF format:
```
data_KNi2Te3
_chemical_formula_sum 'K4 Ni8 Te12'
_cell_length_a 3.890
_cell_length_b 14.854
_cell_length_c 10.857
_cell_angle_alpha 90.00
_cell_angle_beta 90.00
_cell_angle_gamma 90.00
_space_group_name_H-M_alt 'C m c m'
_space_group_IT_number 63
_space_group_name_Hall '-C 2c 2'
loop_
_atom_site_label
_atom_site_type_symbol
_atom_site_fract_x
_atom_site_fract_y
_atom_site_fract_z
_atom_site_occupancy
K1 K 0.000 0.250 0.250 1
Ni1 Ni 0.000 0.000 0.000 1
Ni2 Ni 0.000 0.442 0.750 1
Te1 Te 0.000 0.044 0.750 1
Te2 Te 0.000 0.386 0.533 1
```

---

Material: NaLi2CoH6
Method: DFT, PBE
State: relaxed

## Properties
- final energy (eV for the cell shown) = -137.6
- mass density (g/cm3) = 2.06
- size of the total moment (μB per atom) = 0.000

The structure in CIF format:
```
data_NaLi2CoH6
_chemical_formula_sum 'Na4 Li8 Co4 H24'
_cell_length_a 6.897
_cell_length_b 6.897
_cell_length_c 6.897
_cell_angle_alpha 90.00
_cell_angle_beta 90.00
_cell_angle_gamma 90.00
_space_group_name_H-M_alt 'F m -3 m'
_space_group_IT_number 225
_space_group_name_Hall '-F 4 2 3'
loop_
_atom_site_label
_atom_site_type_symbol
_atom_site_fract_x
_atom_site_fract_y
_atom_site_fract_z
_atom_site_occupancy
Na1 Na 0.000 0.000 0.000 1
Li1 Li 0.250 0.250 0.250 1
Co1 Co 0.000 0.000 0.500 1
H1 H 0.000 0.000 0.282 1
```

---

Material: Al2GaNi
Method: DFT, PBE
State: relaxed

## Properties
- final energy (eV for the cell shown) = -16.8
- mass density (g/cm3) = 5.33
- size of the total moment (μB per atom) = 0.001

The structure in CIF format:
```
data_Al2GaNi
_chemical_formula_sum 'Al2 Ga1 Ni1'
_cell_length_a 3.908
_cell_length_b 3.908
_cell_length_c 3.719
_cell_angle_alpha 90.00
_cell_angle_beta 90.00
_cell_angle_gamma 90.00
_space_group_name_H-M_alt 'P 4/m m m'
_space_group_IT_number 123
_space_group_name_Hall '-P 4 2'
loop_
_atom_site_label
_atom_site_type_symbol
_atom_site_fract_x
_atom_site_fract_y
_atom_site_fract_z
_atom_site_occupancy
Al1 Al 0.000 0.500 0.000 1
Ga1 Ga 0.000 0.000 0.500 1
Ni1 Ni 0.500 0.500 0.500 1
```

---

Material: SmZrPt
Method: DFT, PBE
State: relaxed

## Properties
- final energy (eV for the cell shown) = -77.9
- energy above the lowest structure with this stoichiometry (meV per atom) = 0.0
- calculated formation energy (kJ/mol of formula units) = -15
- mass density (g/cm3) = 10.09
- size of the total moment (μB per atom) = 0.001

The structure in CIF format:
```
data_SmZrPt
_chemical_formula_sum 'Sm4 Zr4 Pt4'
_cell_length_a 6.599
_cell_length_b 6.599
_cell_length_c 6.599
_cell_angle_alpha 90.00
_cell_angle_beta 90.00
_cell_angle_gamma 90.00
_space_group_name_H-M_alt 'F -4 3 m'
_space_group_IT_number 216
_space_group_name_Hall 'F -4 2 3'
loop_
_atom_site_label
_atom_site_type_symbol
_atom_site_fract_x
_atom_site_fract_y
_atom_site_fract_z
_atom_site_occupancy
Sm1 Sm 0.000 0.000 0.000 1
Zr1 Zr 0.250 0.250 0.750 1
Pt1 Pt 0.000 0.000 0.500 1
```